LaCeNiRh after structural relaxation, computed with GGA-PBE.

## Properties
**DOS at the Fermi energy**: 29.3 states/eV per cell
**E_form**: -0.435 eV per atom
**SG**: F-43m
**Crystal system**: cubic
**Electronic total energy**: -6.433 eV per atom

Lattice parameters (Å, degrees): 7.035 7.035 7.035 90.00 90.00 90.00
Sites, in units of the cell vectors:
1 La 0.000 0.000 0.000
2 La 0.000 0.500 0.500
3 La 0.500 0.000 0.500
4 La 0.500 0.500 0.000
5 Ce 0.000 0.000 0.500
6 Ce 0.000 0.500 0.000
7 Ce 0.500 0.000 0.000
8 Ce 0.500 0.500 0.500
9 Ni 0.250 0.250 0.250
10 Ni 0.250 0.750 0.750
11 Ni 0.750 0.250 0.750
12 Ni 0.750 0.750 0.250
13 Rh 0.250 0.250 0.750
14 Rh 0.250 0.750 0.250
15 Rh 0.750 0.250 0.250
16 Rh 0.750 0.750 0.750